A plane-wave DFT calculation with GGA-PBE was carried out for an optimized crystal structure of Ca2VRh.

Geometry as POSCAR:
```
Ca2VRh
1.0
10.4052 0.0000 0.0000
0.0000 10.4052 0.0000
0.0000 0.0000 4.7105
Ca V Rh
8 4 4
direct
0.0922 0.2500 0.1250
0.2500 0.5922 0.3750
0.2500 0.9078 0.8750
0.4078 0.2500 0.6250
0.5922 0.7500 0.6250
0.7500 0.0922 0.8750
0.7500 0.4078 0.3750
0.9078 0.7500 0.1250
0.0000 0.0000 0.5000
0.0000 0.5000 0.7500
0.5000 0.0000 0.2500
0.5000 0.5000 0.0000
0.0000 0.0000 0.0000
0.0000 0.5000 0.2500
0.5000 0.0000 0.7500
0.5000 0.5000 0.5000
```

## Properties
The calculation puts the excess energy over the best structure of this formula in the dataset at 0.0513 eV per atom. Its calculated volume is 127.50 Å³/f.u. As for the crystal system: tetragonal. For the electronic total energy, the calculation gives -4.80 eV per atom. As for the formation energy: 1.3 eV/f.u.